## RbSmCuO3 (PBE-GGA)

Data for RbSmCuO3 after structural relaxation.

The space group is P2_1/m (No. 11) and the conventional cell measures 7.7121, 3.6940 and 9.0301 Å, with angles of 90.00, 108.93 and 90.00 degrees. The asymmetric unit holds Rb at (0.1912, 0.2500, 0.1862), Sm at (0.3334, 0.7500, 0.8566), Cu at (0.0455, 0.2500, 0.6249), O at (0.1143, 0.7500, 0.5940), O at (0.1316, 0.2500, 0.8519) and O at (0.4638, 0.7500, 0.1239).

The calculation puts the raw formation energy at -1.8935 eV/atom.

## Ni3I (PBE-GGA)

Data for Ni3I after structural relaxation.

The space group is I4/mmm (No. 139) and the conventional cell measures 3.8111, 3.8111 and 7.5590 Å, with angles of 90.00, 90.00 and 90.00 degrees. The asymmetric unit holds Ni at (0.0000, 0.0000, 0.0000), Ni at (0.0000, 0.5000, 0.2500) and I at (0.0000, 0.0000, 0.5000).

The calculation puts the raw formation energy at 0.5314 eV/atom.

## Tl2InGeO4 (PBE-GGA)

Data for Tl2InGeO4 after structural relaxation.

The space group is Fddd (No. 70, origin choice 2) and the conventional cell measures 5.6765, 11.8574 and 20.8107 Å, with angles of 90.00, 90.00 and 90.00 degrees. The asymmetric unit holds Tl at (0.1250, 0.1250, 0.3030), In at (0.1250, 0.1250, 0.1250), Ge at (0.1250, 0.1250, 0.6250) and O at (0.0822, 0.2853, 0.8334).

The calculation puts the raw formation energy at -0.9651 eV/atom.

## Zr2PaNi9 (PBE-GGA)

Data for Zr2PaNi9 after structural relaxation.

The space group is R-3m (No. 166, hexagonal axes) and the conventional cell measures 4.8727, 4.8727 and 24.0482 Å, with angles of 90.00, 90.00 and 120.00 degrees. The asymmetric unit holds Zr at (0.0000, 0.0000, 0.1393), Pa at (0.0000, 0.0000, 0.0000), Ni at (0.0000, 0.0000, 0.3337), Ni at (0.0000, 0.0000, 0.5000) and Ni at (0.0033, 0.5016, 0.9152).

As for the calculated formation energy: -441 meV/atom.

Number 1: DFT total energy -6.0030 eV/atom, spin magnetization 1.01 μB per formula unit. Number 2: DFT total energy -4.1921 eV/atom, spin magnetization 0.00 μB per formula unit. Number 3: DFT total energy -4.9552 eV/atom, spin magnetization 0.00 μB per formula unit. Number 4: DFT total energy -6.9933 eV/atom, spin magnetization 0.00 μB per formula unit.